(1)
Density functional theory data (PBE-GGA) for a relaxed SrBeO2 crystal.

Cell lengths 5.250, 5.250, 5.007 Å; angles 58.38, 58.38, 90.00 degrees
Sites, in units of the cell vectors:
Sr1 0.000 0.000 0.000
Sr2 0.750 0.250 0.500
O1 0.501 0.125 0.250
O2 0.249 0.625 0.250
O3 0.375 0.499 0.750
O4 0.875 0.751 0.750
Be1 0.500 0.500 0.000
Be2 0.250 0.750 0.500

Properties
Raw formation energy   -248.0 kJ per mole of atoms
N(E_F)   0.00 states/eV per cell
Uncorrected energy   -51.208 eV/cell

=====

(2)
Density functional theory data (PBE-GGA) for a relaxed NiIBr2 crystal.

Cell lengths 3.683, 5.217, 11.129 Å; angles 90.00, 90.00, 90.00 degrees
Sites, in units of the cell vectors:
Ni1 0.000 0.000 0.409
Ni2 0.500 0.500 0.909
I1 0.000 0.500 0.068
I2 0.500 0.000 0.568
Br1 0.000 0.500 0.402
Br2 0.500 0.000 0.902
Br3 0.000 0.500 0.766
Br4 0.500 0.000 0.266

Properties
Raw formation energy   -12.4 kJ per mole of atoms
Energy above the lowest structure with this stoichiometry   59 meV per atom
N(E_F)   5.29 states/eV per cell
Uncorrected energy   -22.383 eV/cell

=====

(3)
Density functional theory data (PBE-GGA) for a relaxed CrReNi2 crystal.

Cell lengths 4.151, 2.554, 4.557 Å; angles 89.96, 90.00, 90.00 degrees
Sites, in units of the cell vectors:
Re1 0.000 0.624 0.467
Ni1 0.000 0.125 0.970
Ni2 0.500 0.125 0.274
Cr1 0.500 0.625 0.789

Properties
Energy above the lowest structure with this stoichiometry   0 meV per atom
N(E_F)   4.56 states/eV per cell
Uncorrected energy   -33.615 eV/cell

=====

(4)
Density functional theory data (PBE-GGA) for a relaxed BBr crystal.

Cell lengths 6.073, 6.073, 6.073 Å; angles 90.00, 90.00, 90.00 degrees
Sites, in units of the cell vectors:
B1 0.250 0.250 0.250
B2 0.250 0.750 0.750
B3 0.750 0.250 0.750
B4 0.750 0.750 0.250
Br1 0.000 0.000 0.000
Br2 0.000 0.500 0.500
Br3 0.500 0.000 0.500
Br4 0.500 0.500 0.000

Properties
Raw formation energy   163.3 kJ per mole of atoms
Energy above the lowest structure with this stoichiometry   2018 meV per atom
Uncorrected energy   -19.865 eV/cell

=====

(5)
Density functional theory data (PBE-GGA) for a relaxed SrCePdS3 crystal.

Cell lengths 4.037, 8.358, 8.836 Å; angles 103.80, 90.00, 90.00 degrees
Sites, in units of the cell vectors:
Sr1 0.250 0.186 0.228
Sr2 0.750 0.814 0.772
Ce1 0.250 0.680 0.178
Ce2 0.750 0.320 0.822
Pd1 0.250 0.107 0.565
Pd2 0.750 0.893 0.435
S1 0.750 0.897 0.139
S2 0.250 0.103 0.861
S3 0.250 0.761 0.491
S4 0.750 0.239 0.509
S5 0.750 0.433 0.154
S6 0.250 0.567 0.846

Properties
Raw formation energy   -155.9 kJ per mole of atoms
N(E_F)   7.92 states/eV per cell
Uncorrected energy   -69.774 eV/cell

=====

(6)
Density functional theory data (PBE-GGA) for a relaxed CrCdSe2 crystal.

Cell lengths 6.845, 6.845, 3.991 Å; angles 84.58, 84.58, 30.52 degrees
Sites, in units of the cell vectors:
Cd1 0.525 0.525 0.542
Cr1 0.306 0.306 0.257
Se1 0.948 0.948 0.083
Se2 0.721 0.721 0.618

Properties
Raw formation energy   -26.6 kJ per mole of atoms
N(E_F)   1.68 states/eV per cell
Uncorrected energy   -18.612 eV/cell

=====

(7)
Density functional theory data (PBE-GGA) for a relaxed Li4Zn2Rh crystal.

Cell lengths 6.280, 6.280, 5.076 Å; angles 128.21, 128.21, 90.00 degrees
Sites, in units of the cell vectors:
Li1 0.799 0.201 0.000
Li2 0.201 0.799 0.000
Li3 0.799 0.799 0.000
Li4 0.201 0.201 0.000
Zn1 0.750 0.250 0.500
Zn2 0.250 0.750 0.500
Rh1 0.500 0.500 0.000

Properties
Energy above the lowest structure with this stoichiometry   131 meV per atom
N(E_F)   2.71 states/eV per cell
Uncorrected energy   -17.866 eV/cell

=====

(8)
Density functional theory data (PBE-GGA) for a relaxed Na5NdO4 crystal.

Cell lengths 3.650, 6.472, 7.567 Å; angles 115.22, 103.95, 90.00 degrees
Sites, in units of the cell vectors:
Na1 0.825 0.591 0.651
Na2 0.825 0.060 0.651
Na3 0.175 0.940 0.349
Na4 0.500 0.500 0.000
Na5 0.175 0.409 0.349
Nd1 0.500 0.000 0.000
O1 0.311 0.811 0.622
O2 0.000 0.756 0.000
O3 0.689 0.189 0.378
O4 0.000 0.244 0.000

Properties
Raw formation energy   -168.0 kJ per mole of atoms
N(E_F)   0.00 states/eV per cell
Uncorrected energy   -48.609 eV/cell

=====

(9)
Density functional theory data (PBE-GGA) for a relaxed Al2CoSe crystal.

Cell lengths 3.360, 3.361, 6.095 Å; angles 90.00, 90.00, 90.00 degrees
Sites, in units of the cell vectors:
Co1 0.000 0.000 0.378
Al1 0.000 0.000 0.000
Al2 0.500 0.500 0.299
Se1 0.500 0.500 0.824

Properties
Raw formation energy   -11.4 kJ per mole of atoms
N(E_F)   1.83 states/eV per cell
Uncorrected energy   -18.548 eV/cell

=====

(10)
Density functional theory data (PBE-GGA) for a relaxed Ti2CdCu crystal.

Cell lengths 4.101, 4.040, 4.040 Å; angles 90.00, 90.00, 90.00 degrees
Sites, in units of the cell vectors:
Ti1 0.000 0.000 0.500
Ti2 0.000 0.500 0.000
Cu1 0.500 0.500 0.500
Cd1 0.500 0.000 0.000

Properties
N(E_F)   3.76 states/eV per cell
Uncorrected energy   -20.615 eV/cell

=====

(11)
Density functional theory data (PBE-GGA) for a relaxed TmCu8Au3 crystal.

Cell lengths 4.979, 4.979, 8.086 Å; angles 90.00, 90.00, 120.00 degrees
Sites, in units of the cell vectors:
Tm1 0.000 0.000 0.563
Cu1 0.333 0.667 0.498
Cu2 0.333 0.667 0.998
Cu3 0.502 0.005 0.755
Cu4 0.502 0.498 0.755
Cu5 0.995 0.498 0.755
Cu6 0.165 0.330 0.245
Cu7 0.165 0.835 0.245
Cu8 0.670 0.835 0.245
Au1 0.667 0.333 0.440
Au2 0.667 0.333 0.064
Au3 0.000 0.000 0.937

Properties
N(E_F)   5.94 states/eV per cell
Uncorrected energy   -48.982 eV/cell

=====

(12)
Density functional theory data (PBE-GGA) for a relaxed TbDy2Fe crystal.

Cell lengths 4.656, 4.656, 6.069 Å; angles 67.44, 67.44, 60.00 degrees
Sites, in units of the cell vectors:
Tb1 0.500 0.500 0.500
Fe1 0.000 0.000 0.000
Dy1 0.279 0.279 0.164
Dy2 0.721 0.721 0.836

Properties
Energy above the lowest structure with this stoichiometry   352 meV per atom
N(E_F)   4.44 states/eV per cell
Uncorrected energy   -20.911 eV/cell